DFT (PBE) results for a geometry-optimized MgTc structure.

Results
As for the calculated formation energy: 4.72 eV/f.u. Its total magnetic moment is 17.35 Bohr magnetons per cell. The calculation puts the density of states at the Fermi level at 17.69 states/eV/cell. The energy relative to the lowest polymorph listed for this composition is 4.774 eV/f.u. Its space group is Pm-3n, No. 223.

Structure (POSCAR):
```
MgTc
1.0
7.536 0.000 0.000
0.000 7.536 0.000
0.000 0.000 7.536
Mg Tc
6 6
Cartesian
5.652 0.000 3.768
3.768 1.884 0.000
0.000 3.768 1.884
1.884 0.000 3.768
3.768 5.652 0.000
0.000 3.768 5.652
3.768 0.000 1.884
0.000 5.652 3.768
3.768 0.000 5.652
5.652 3.768 0.000
1.884 3.768 0.000
0.000 1.884 3.768
```

DFT (PBE) results for a geometry-optimized CdFeW2 structure.

Results
As for the calculated formation energy: 2.35 eV/f.u. Its total magnetic moment is 0.00 Bohr magnetons per cell. The calculation puts the density of states at the Fermi level at 3.26 states/eV/cell. Its space group is Cm, No. 8.

Structure (POSCAR):
```
CdFeW2
1.0
5.090 0.045 0.161
4.246 2.807 0.161
1.515 0.463 4.526
Fe Cd W
1 1 2
Cartesian
7.872 2.404 3.495
5.298 1.618 2.652
0.306 0.093 0.059
2.800 0.855 1.067
```

DFT (PBE) results for a geometry-optimized NdTm2Cd2 structure.

Results
As for the calculated formation energy: -1.22 eV/f.u. Its total magnetic moment is 0.00 Bohr magnetons per cell. The calculation puts the density of states at the Fermi level at 9.97 states/eV/cell. The energy relative to the lowest polymorph listed for this composition is 0.000 eV/f.u. Its space group is P2_1/m, No. 11.

Structure (POSCAR):
```
NdTm2Cd2
1.0
-1.005 2.795 -2.222
0.690 -3.174 -4.304
-12.645 -5.434 1.981
Cd Tm Nd
4 4 2
Cartesian
-11.387 -6.035 -2.440
-3.708 -2.125 -4.093
-9.253 -3.688 -0.452
-1.574 0.223 -2.105
-12.252 -3.056 -1.398
-7.252 -1.520 -1.730
-0.709 -2.756 -3.147
-5.708 -4.292 -2.816
-9.227 -3.822 -3.726
-3.734 -1.990 -0.819
```